No. 1
A relaxed TbY5Zn6 crystal. Source: the Alexandria database, functional PBE.

Summary:
- uncorrected energy (Ry/atom) = -0.2993
- ΔE_f (kJ per mole of atoms) = -34
- V (Å³/cell) = 552

Structure (CIF):
```
data_TbY5Zn6
_space_group_name_H-M_alt 'C m m m'
_space_group_IT_number 65
_space_group_name_Hall '-C 2 2'
_cell_length_a 5.060
_cell_length_b 15.187
_cell_length_c 7.178
_cell_angle_alpha 90.00
_cell_angle_beta 90.00
_cell_angle_gamma 90.00
loop_
_atom_site_label
_atom_site_type_symbol
_atom_site_fract_x
_atom_site_fract_y
_atom_site_fract_z
Tb1 Tb 0.000 0.000 0.000
Y1 Y 0.000 0.000 0.500
Y2 Y 0.000 0.333 0.000
Y3 Y 0.000 0.334 0.500
Zn1 Zn 0.000 0.167 0.250
Zn2 Zn 0.000 0.500 0.250
```


No. 2
A relaxed ReSbAu2 crystal. Source: the Alexandria database, functional PBE.

Summary:
- formation energy (no corrections) (eV per atom) = 0.57
- uncorrected energy (Ry/atom) = -0.3828
- V (Å³/cell) = 147

Structure (CIF):
```
data_ReSbAu2
_space_group_name_H-M_alt 'C m m m'
_space_group_IT_number 65
_space_group_name_Hall '-C 2 2'
_cell_length_a 5.676
_cell_length_b 8.803
_cell_length_c 2.941
_cell_angle_alpha 90.00
_cell_angle_beta 90.00
_cell_angle_gamma 90.00
loop_
_atom_site_label
_atom_site_type_symbol
_atom_site_fract_x
_atom_site_fract_y
_atom_site_fract_z
Re1 Re 0.000 0.000 0.000
Sb1 Sb 0.000 0.500 0.000
Au1 Au 0.250 0.250 0.500
```


No. 3
A relaxed Ce3Pu3Bi crystal. Source: the Alexandria database, functional PBE.

Summary:
- uncorrected energy (Ry/atom) = -0.6183
- ΔE_f (kJ per mole of atoms) = 80
- V (Å³/cell) = 417

Structure (CIF):
```
data_Ce3Pu3Bi
_space_group_name_H-M_alt 'P m -3 n'
_space_group_IT_number 223
_space_group_name_Hall '-P 4n 2 3'
_cell_length_a 7.472
_cell_length_b 7.472
_cell_length_c 7.472
_cell_angle_alpha 90.00
_cell_angle_beta 90.00
_cell_angle_gamma 90.00
loop_
_atom_site_label
_atom_site_type_symbol
_atom_site_fract_x
_atom_site_fract_y
_atom_site_fract_z
Ce1 Ce 0.000 0.250 0.500
Pu1 Pu 0.000 0.500 0.250
Bi1 Bi 0.000 0.000 0.000
```


No. 4
A relaxed Tl4SnPb crystal. Source: the Alexandria database, functional PBE.

Summary:
- polymorph energy (0 for the lowest one) (meV/atom) = 127
- uncorrected energy (Ry/atom) = -0.2002
- ΔE_f (kJ per mole of atoms) = 13
- V (Å³/cell) = 761

Structure (CIF):
```
data_Tl4SnPb
_space_group_name_H-M_alt 'F -4 3 m'
_space_group_IT_number 216
_space_group_name_Hall 'F -4 2 3'
_cell_length_a 9.129
_cell_length_b 9.129
_cell_length_c 9.129
_cell_angle_alpha 90.00
_cell_angle_beta 90.00
_cell_angle_gamma 90.00
loop_
_atom_site_label
_atom_site_type_symbol
_atom_site_fract_x
_atom_site_fract_y
_atom_site_fract_z
Tl1 Tl 0.125 0.125 0.125
Sn1 Sn 0.000 0.000 0.500
Pb1 Pb 0.250 0.250 0.750
```


No. 5
A relaxed K2RePb crystal. Source: the Alexandria database, functional PBE.

Summary:
- uncorrected energy (Ry/atom) = -0.2621
- ΔE_f (kJ per mole of atoms) = 99
- V (Å³/cell) = 297

Structure (CIF):
```
data_K2RePb
_space_group_name_H-M_alt 'I m m 2'
_space_group_IT_number 44
_space_group_name_Hall 'I 2 -2'
_cell_length_a 4.671
_cell_length_b 6.025
_cell_length_c 10.542
_cell_angle_alpha 90.00
_cell_angle_beta 90.00
_cell_angle_gamma 90.00
loop_
_atom_site_label
_atom_site_type_symbol
_atom_site_fract_x
_atom_site_fract_y
_atom_site_fract_z
K1 K 0.000 0.000 0.000
K2 K 0.000 0.500 0.203
Re1 Re 0.000 0.500 0.794
Pb1 Pb 0.000 0.000 0.421
```


No. 6
A relaxed Ce2MgGa2Ni5 crystal. Source: the Alexandria database, functional PBE.

Summary:
- uncorrected energy (Ry/atom) = -0.3742
- ΔE_f (kJ per mole of atoms) = -24
- V (Å³/cell) = 327

Structure (CIF):
```
data_Ce2MgGa2Ni5
_space_group_name_H-M_alt 'P 4/m b m'
_space_group_IT_number 127
_space_group_name_Hall '-P 4 2ab'
_cell_length_a 10.009
_cell_length_b 10.009
_cell_length_c 3.269
_cell_angle_alpha 90.00
_cell_angle_beta 90.00
_cell_angle_gamma 90.00
loop_
_atom_site_label
_atom_site_type_symbol
_atom_site_fract_x
_atom_site_fract_y
_atom_site_fract_z
Ce1 Ce 0.177 0.323 0.000
Mg1 Mg 0.000 0.000 0.000
Ga1 Ga 0.122 0.622 0.000
Ni1 Ni 0.000 0.500 0.500
Ni2 Ni 0.049 0.789 0.500
```